Record 1
The following is a DFT calculation (PBE) of Lu3AgN after structural relaxation.

Computed properties:
* calculated total energy: -28.79 eV per cell
* D(E_F): 5.494 states/eV/cell

```
data_Lu3AgN
_chemical_formula_sum 'Lu3 Ag1 N1'
_cell_length_a 4.664
_cell_length_b 4.664
_cell_length_c 4.664
_cell_angle_alpha 90.00
_cell_angle_beta 90.00
_cell_angle_gamma 90.00
_space_group_name_H-M_alt 'P 1'
_space_group_IT_number 1
loop_
_space_group_symop_operation_xyz
'x,y,z'
loop_
_atom_site_label
_atom_site_type_symbol
_atom_site_fract_x
_atom_site_fract_y
_atom_site_fract_z
_atom_site_occupancy
Lu1 Lu 0.000 0.000 0.500 1
Lu2 Lu 0.000 0.500 0.000 1
Lu3 Lu 0.500 0.000 0.000 1
Ag1 Ag 0.500 0.500 0.500 1
N1 N 0.000 0.000 0.000 1
```

Record 2
The following is a DFT calculation (PBE) of LaZrH2 after structural relaxation.

Computed properties:
* calculated total energy: -42.36 eV per cell
* energy above the most stable polymorph in this dataset: 0.036 eV per atom
* D(E_F): 6.377 states/eV/cell

```
data_LaZrH2
_chemical_formula_sum 'La2 Zr2 H4'
_cell_length_a 5.720
_cell_length_b 5.720
_cell_length_c 5.720
_cell_angle_alpha 121.68
_cell_angle_beta 121.68
_cell_angle_gamma 87.11
_space_group_name_H-M_alt 'P 1'
_space_group_IT_number 1
loop_
_space_group_symop_operation_xyz
'x,y,z'
loop_
_atom_site_label
_atom_site_type_symbol
_atom_site_fract_x
_atom_site_fract_y
_atom_site_fract_z
_atom_site_occupancy
La1 La 0.000 0.000 0.000 1
La2 La 0.750 0.250 0.500 1
Zr1 Zr 0.250 0.750 0.500 1
Zr2 Zr 0.500 0.500 0.000 1
H1 H 0.179 0.625 0.054 1
H2 H 0.375 0.429 0.554 1
H3 H 0.571 0.125 0.946 1
H4 H 0.875 0.821 0.446 1
```

Record 3
The following is a DFT calculation (PBE) of LuIrRhPb after structural relaxation.

Computed properties:
* calculated total energy: -26.24 eV per cell
* DFT formation energy: -1.8 eV per formula unit
* D(E_F): 4.491 states/eV/cell

```
data_LuIrRhPb
_chemical_formula_sum 'Lu1 Ir1 Rh1 Pb1'
_cell_length_a 4.727
_cell_length_b 4.727
_cell_length_c 4.727
_cell_angle_alpha 60.00
_cell_angle_beta 60.00
_cell_angle_gamma 60.00
_space_group_name_H-M_alt 'P 1'
_space_group_IT_number 1
loop_
_space_group_symop_operation_xyz
'x,y,z'
loop_
_atom_site_label
_atom_site_type_symbol
_atom_site_fract_x
_atom_site_fract_y
_atom_site_fract_z
_atom_site_occupancy
Lu1 Lu 0.000 0.000 0.000 1
Ir1 Ir 0.750 0.750 0.750 1
Rh1 Rh 0.250 0.250 0.250 1
Pb1 Pb 0.500 0.500 0.500 1
```

Record 4
The following is a DFT calculation (PBE) of Pm2Sm5Bi5 after structural relaxation.

Computed properties:
* calculated total energy: -60.41 eV per cell
* DFT formation energy: -7.9 eV per formula unit
* D(E_F): 9.126 states/eV/cell

```
data_Pm2Sm5Bi5
_chemical_formula_sum 'Pm2 Sm5 Bi5'
_cell_length_a 7.753
_cell_length_b 7.753
_cell_length_c 13.101
_cell_angle_alpha 108.70
_cell_angle_beta 108.70
_cell_angle_gamma 33.87
_space_group_name_H-M_alt 'P 1'
_space_group_IT_number 1
loop_
_space_group_symop_operation_xyz
'x,y,z'
loop_
_atom_site_label
_atom_site_type_symbol
_atom_site_fract_x
_atom_site_fract_y
_atom_site_fract_z
_atom_site_occupancy
Pm1 Pm 0.044 0.044 0.284 1
Pm2 Pm 0.956 0.956 0.716 1
Sm1 Sm 0.281 0.281 0.159 1
Sm2 Sm 0.340 0.340 0.464 1
Sm3 Sm 0.500 0.500 0.000 1
Sm4 Sm 0.660 0.660 0.536 1
Sm5 Sm 0.719 0.719 0.841 1
Bi1 Bi 0.000 0.000 0.500 1
Bi2 Bi 0.121 0.121 0.936 1
Bi3 Bi 0.302 0.302 0.709 1
Bi4 Bi 0.698 0.698 0.291 1
Bi5 Bi 0.879 0.879 0.064 1
```

Record 5
The following is a DFT calculation (PBE) of HfH2Pd8 after structural relaxation.

Computed properties:
* calculated total energy: -60.00 eV per cell
* D(E_F): 6.202 states/eV/cell

```
data_HfH2Pd8
_chemical_formula_sum 'Hf1 H2 Pd8'
_cell_length_a 6.474
_cell_length_b 6.474
_cell_length_c 4.182
_cell_angle_alpha 97.69
_cell_angle_beta 97.69
_cell_angle_gamma 68.23
_space_group_name_H-M_alt 'P 1'
_space_group_IT_number 1
loop_
_space_group_symop_operation_xyz
'x,y,z'
loop_
_atom_site_label
_atom_site_type_symbol
_atom_site_fract_x
_atom_site_fract_y
_atom_site_fract_z
_atom_site_occupancy
Hf1 Hf 0.000 0.000 0.000 1
H1 H 0.256 0.256 0.693 1
H2 H 0.744 0.744 0.307 1
Pd1 Pd 0.059 0.683 0.405 1
Pd2 Pd 0.255 0.255 0.145 1
Pd3 Pd 0.317 0.941 0.595 1
Pd4 Pd 0.427 0.427 0.729 1
Pd5 Pd 0.573 0.573 0.271 1
Pd6 Pd 0.683 0.059 0.405 1
Pd7 Pd 0.745 0.745 0.855 1
Pd8 Pd 0.941 0.317 0.595 1
```

Record 6
The following is a DFT calculation (PBE) of Ni2TeIr after structural relaxation.

Computed properties:
* calculated total energy: -21.80 eV per cell
* energy above the most stable polymorph in this dataset: 0.279 eV per atom
* D(E_F): 6.340 states/eV/cell

```
data_Ni2TeIr
_chemical_formula_sum 'Ni2 Te1 Ir1'
_cell_length_a 8.019
_cell_length_b 8.019
_cell_length_c 8.019
_cell_angle_alpha 21.62
_cell_angle_beta 21.62
_cell_angle_gamma 21.62
_space_group_name_H-M_alt 'P 1'
_space_group_IT_number 1
loop_
_space_group_symop_operation_xyz
'x,y,z'
loop_
_atom_site_label
_atom_site_type_symbol
_atom_site_fract_x
_atom_site_fract_y
_atom_site_fract_z
_atom_site_occupancy
Ni1 Ni 0.249 0.249 0.249 1
Ni2 Ni 0.751 0.751 0.751 1
Te1 Te 0.000 0.000 0.000 1
Ir1 Ir 0.500 0.500 0.500 1
```

Copy entry 3 word for word.
The following is a DFT calculation (PBE) of LuIrRhPb after structural relaxation.

Computed properties:
* calculated total energy: -26.24 eV per cell
* DFT formation energy: -1.8 eV per formula unit
* D(E_F): 4.491 states/eV/cell

```
data_LuIrRhPb
_chemical_formula_sum 'Lu1 Ir1 Rh1 Pb1'
_cell_length_a 4.727
_cell_length_b 4.727
_cell_length_c 4.727
_cell_angle_alpha 60.00
_cell_angle_beta 60.00
_cell_angle_gamma 60.00
_space_group_name_H-M_alt 'P 1'
_space_group_IT_number 1
loop_
_space_group_symop_operation_xyz
'x,y,z'
loop_
_atom_site_label
_atom_site_type_symbol
_atom_site_fract_x
_atom_site_fract_y
_atom_site_fract_z
_atom_site_occupancy
Lu1 Lu 0.000 0.000 0.000 1
Ir1 Ir 0.750 0.750 0.750 1
Rh1 Rh 0.250 0.250 0.250 1
Pb1 Pb 0.500 0.500 0.500 1
```

Question: Among the records above, which one has the lowest D(E_F)?
Answer: LuIrRhPb

What did the fourth record say?
The following is a DFT calculation (PBE) of Pm2Sm5Bi5 after structural relaxation.

Computed properties:
* calculated total energy: -60.41 eV per cell
* DFT formation energy: -7.9 eV per formula unit
* D(E_F): 9.126 states/eV/cell

```
data_Pm2Sm5Bi5
_chemical_formula_sum 'Pm2 Sm5 Bi5'
_cell_length_a 7.753
_cell_length_b 7.753
_cell_length_c 13.101
_cell_angle_alpha 108.70
_cell_angle_beta 108.70
_cell_angle_gamma 33.87
_space_group_name_H-M_alt 'P 1'
_space_group_IT_number 1
loop_
_space_group_symop_operation_xyz
'x,y,z'
loop_
_atom_site_label
_atom_site_type_symbol
_atom_site_fract_x
_atom_site_fract_y
_atom_site_fract_z
_atom_site_occupancy
Pm1 Pm 0.044 0.044 0.284 1
Pm2 Pm 0.956 0.956 0.716 1
Sm1 Sm 0.281 0.281 0.159 1
Sm2 Sm 0.340 0.340 0.464 1
Sm3 Sm 0.500 0.500 0.000 1
Sm4 Sm 0.660 0.660 0.536 1
Sm5 Sm 0.719 0.719 0.841 1
Bi1 Bi 0.000 0.000 0.500 1
Bi2 Bi 0.121 0.121 0.936 1
Bi3 Bi 0.302 0.302 0.709 1
Bi4 Bi 0.698 0.698 0.291 1
Bi5 Bi 0.879 0.879 0.064 1
```

Question: What is the formula in the fifth record?
Answer: HfH2Pd8